Below is a relaxed structure of As2HPt, with properties calculated at the PBE level.

Cell lengths 5.9228, 5.9228, 5.9228 Å; angles 125.29, 125.29, 81.06 degrees
Positions (direct):
As  0.0647  0.6250  0.9397
As  0.3750  0.3147  0.4397
As  0.6853  0.1250  0.0603
As  0.8750  0.9353  0.5603
H  0.0000  0.0000  0.0000
H  0.7500  0.2500  0.5000
Pt  0.2500  0.7500  0.5000
Pt  0.5000  0.5000  0.0000

Output
Crystal system: tetragonal
Polymorph energy (0 for the lowest one) in meV/atom: 73.4

---

Below is a relaxed structure of As3HPt, with properties calculated at the PBE level.

Cell lengths 4.2179, 4.2179, 4.2179 Å; angles 90.00, 90.00, 90.00 degrees
Positions (direct):
As  0.0000  0.0000  0.5000
As  0.0000  0.5000  0.0000
As  0.5000  0.0000  0.0000
H  0.0000  0.0000  0.0000
Pt  0.5000  0.5000  0.5000

Output
Crystal system: cubic
Polymorph energy (0 for the lowest one) in meV/atom: 0.0

---

Below is a relaxed structure of AsHPt, with properties calculated at the PBE level.

Cell lengths 3.5649, 3.5724, 6.8826 Å; angles 75.15, 89.93, 90.00 degrees
Positions (direct):
As  0.2489  0.1212  0.2624
As  0.7511  0.8788  0.7376
H  0.2518  0.4287  0.6345
H  0.7482  0.5713  0.3655
Pt  0.2504  0.3095  0.8797
Pt  0.7496  0.6905  0.1203

Output
Crystal system: triclinic
E_tot in eV for the cell shown: -28.407

---

Below is a relaxed structure of As3HPt, with properties calculated at the PBE level.

Cell lengths 4.9573, 4.9573, 4.9573 Å; angles 90.00, 90.00, 90.00 degrees
Positions (direct):
As  0.0000  0.0000  0.5000
As  0.0000  0.5000  0.0000
As  0.5000  0.0000  0.0000
H  0.5000  0.5000  0.5000
Pt  0.0000  0.0000  0.0000

Output
Crystal system: cubic
Polymorph energy (0 for the lowest one) in meV/atom: 569.5

---

Below is a relaxed structure of AsHPt2, with properties calculated at the PBE level.

Cell lengths 5.9403, 5.9403, 5.9403 Å; angles 130.70, 130.70, 72.29 degrees
Positions (direct):
As  0.0000  0.0000  0.0000
As  0.7500  0.2500  0.5000
H  0.2500  0.7500  0.5000
H  0.5000  0.5000  0.0000
Pt  0.2217  0.6250  0.0967
Pt  0.3750  0.4717  0.5967
Pt  0.5283  0.1250  0.9033
Pt  0.8750  0.7783  0.4033

Output
Crystal system: tetragonal
Polymorph energy (0 for the lowest one) in meV/atom: 0.0

---

Below is a relaxed structure of AsHPt2, with properties calculated at the PBE level.

Cell lengths 4.2472, 4.2472, 4.2472 Å; angles 60.00, 60.00, 60.00 degrees
Positions (direct):
As  0.0000  0.0000  0.0000
H  0.5000  0.5000  0.5000
Pt  0.2500  0.2500  0.2500
Pt  0.7500  0.7500  0.7500

Output
Crystal system: cubic
Polymorph energy (0 for the lowest one) in meV/atom: 474.1

---

Below is a relaxed structure of As2HPt, with properties calculated at the PBE level.

Cell lengths 4.3246, 4.3246, 4.3246 Å; angles 60.00, 60.00, 60.00 degrees
Positions (direct):
As  0.2500  0.2500  0.2500
As  0.7500  0.7500  0.7500
H  0.0000  0.0000  0.0000
Pt  0.5000  0.5000  0.5000

Output
Crystal system: cubic
Polymorph energy (0 for the lowest one) in meV/atom: 0.0

---

Below is a relaxed structure of PuAsHPt, with properties calculated at the PBE level.

Cell lengths 4.3635, 4.3635, 3.8764 Å; angles 90.00, 90.00, 120.00 degrees
Positions (direct):
Pu  0.0000  0.0000  0.0000
As  0.3333  0.6667  0.5368
H  0.6667  0.3333  0.9955
Pt  0.6667  0.3333  0.4695

Output
Crystal system: trigonal
E_tot in eV for the cell shown: -31.254

---

Below is a relaxed structure of AsHPtSe2, with properties calculated at the PBE level.

Cell lengths 4.7282, 4.7282, 3.5083 Å; angles 90.00, 90.00, 90.00 degrees
Positions (direct):
As  0.0000  0.0000  0.0000
H  0.0000  0.0000  0.5000
Pt  0.5000  0.5000  0.0000
Se  0.0000  0.5000  0.5000
Se  0.5000  0.0000  0.5000

Output
Crystal system: tetragonal
Polymorph energy (0 for the lowest one) in meV/atom: 0.0

---

Below is a relaxed structure of AsHPtSe2, with properties calculated at the PBE level.

Cell lengths 5.1590, 5.1590, 4.7639 Å; angles 90.00, 90.00, 90.00 degrees
Positions (direct):
As  0.0000  0.0000  0.0000
H  0.5000  0.5000  0.0000
Pt  0.0000  0.0000  0.5000
Se  0.0000  0.5000  0.5000
Se  0.5000  0.0000  0.5000

Output
Crystal system: tetragonal
Polymorph energy (0 for the lowest one) in meV/atom: 308.3

---

Below is a relaxed structure of As2HPtSe, with properties calculated at the PBE level.

Cell lengths 3.9595, 3.9595, 4.9539 Å; angles 90.00, 90.00, 90.00 degrees
Positions (direct):
As  0.0000  0.5000  0.0000
As  0.5000  0.0000  0.0000
H  0.0000  0.0000  0.0000
Pt  0.5000  0.5000  0.5000
Se  0.0000  0.0000  0.5000

Output
Crystal system: tetragonal
Polymorph energy (0 for the lowest one) in meV/atom: 0.0

---

Below is a relaxed structure of As2HPtSe, with properties calculated at the PBE level.

Cell lengths 4.8574, 4.8574, 5.2981 Å; angles 90.00, 90.00, 90.00 degrees
Positions (direct):
As  0.0000  0.5000  0.0000
As  0.5000  0.0000  0.0000
H  0.0000  0.0000  0.5000
Pt  0.5000  0.5000  0.0000
Se  0.5000  0.5000  0.5000

Output
Crystal system: tetragonal
Polymorph energy (0 for the lowest one) in meV/atom: 409.7

---

Going through the records in order, we get DOS(E_F) values of 4.25 1.66 0.81 4.72 2.75 3.64 1.45 10.50 4.67 5.13 2.45 4.49 states/eV/cell.